Below is a geometry-optimized Na2TiAu structure, with properties calculated at the PBE-GGA level.

Unit cell a=4.880 b=4.880 c=4.880 alpha=60.00 beta=60.00 gamma=60.00
Sites, in units of the cell vectors:
Na (0.250, 0.250, 0.250)
Na (0.750, 0.750, 0.750)
Ti (0.000, 0.000, 0.000)
Au (0.500, 0.500, 0.500)

Calculated volume: 82.2 Å³ per cell
M_tot: 0.0000 μB per atom
E above lowest polymorph: 127 meV/atom
E_form: 0.5677 eV per atom


Below is a geometry-optimized LaErGa6 structure, with properties calculated at the PBE-GGA level.

Unit cell a=6.416 b=6.416 c=4.608 alpha=90.00 beta=90.00 gamma=120.00
Sites, in units of the cell vectors:
La (0.000, 0.000, 0.000)
Er (0.333, 0.667, 0.500)
Ga (0.383, 0.192, 0.500)
Ga (0.520, 0.039, 0.000)
Ga (0.520, 0.480, 0.000)
Ga (0.808, 0.192, 0.500)
Ga (0.808, 0.617, 0.500)
Ga (0.961, 0.480, 0.000)

Calculated volume: 164.3 Å³ per cell
M_tot: 0.0000 μB per atom
E_form: -0.5421 eV per atom